Entry 1:
First-principles (PBE-GGA) data for a relaxed structure of BaLiTlPd3, as listed in Alexandria.

Structure (POSCAR):
```
BaLiTlPd3
1.0
-6.2009 -2.3300 -1.8323
1.4833 -5.5695 2.0624
-2.9868 4.2911 4.6513
Ba Li Tl Pd
2 2 2 6
Direct
0.7500 0.3087 0.6174
0.2500 0.6913 0.3826
0.2500 0.9340 0.8681
0.7500 0.0660 0.1319
0.2500 0.3647 0.7294
0.7500 0.6353 0.2706
0.2500 0.1411 0.2821
0.0000 0.2557 0.0000
0.5000 0.7443 0.0000
0.5000 0.2557 0.0000
0.0000 0.7443 0.0000
0.7500 0.8589 0.7179
```

SG: Cmcm (63)
Magnetization: 0.0 Bohr magnetons per cell
Crystal system: orthorhombic
ΔH_f (0 K): -329 meV per atom

=====

Entry 2:
First-principles (PBE-GGA) data for a relaxed structure of Ba2LiTlPd6, as listed in Alexandria.

Structure (POSCAR):
```
Ba2LiTlPd6
1.0
-1.7248 7.0536 -0.8472
-4.9978 -0.6695 4.2075
-0.6109 4.9845 5.3247
Ba Li Tl Pd
2 1 1 6
Direct
0.2252 0.7763 0.4485
0.7748 0.2237 0.5515
0.0000 0.0000 0.0000
0.5000 0.5000 0.0000
0.2373 0.7564 0.9033
0.7588 0.6684 0.0932
0.3395 0.2418 0.5189
0.7627 0.2436 0.0967
0.2412 0.3316 0.9068
0.6605 0.7582 0.4811
```

SG: P-1 (2)
Magnetization: 0.0 Bohr magnetons per cell
Crystal system: triclinic
ΔH_f (0 K): -333 meV per atom

=====

Entry 3:
First-principles (PBE-GGA) data for a relaxed structure of Ba2LiTl3Pd4, as listed in Alexandria.

Structure (POSCAR):
```
Ba2LiTl3Pd4
1.0
4.7442 0.0000 0.0000
0.0000 4.7442 0.0000
0.0000 0.0000 11.3444
Ba Li Tl Pd
2 1 3 4
Direct
0.5000 0.0000 0.2463
0.0000 0.5000 0.7537
0.5000 0.5000 0.5000
0.0000 0.0000 0.5000
0.5000 0.0000 0.8745
0.0000 0.5000 0.1255
0.5000 0.5000 0.0000
0.0000 0.0000 0.0000
0.5000 0.0000 0.6297
0.0000 0.5000 0.3703
```

SG: P-4m2 (115)
Magnetization: 0.0 Bohr magnetons per cell
Crystal system: tetragonal
ΔH_f (0 K): -419 meV per atom

=====

Entry 4:
First-principles (PBE-GGA) data for a relaxed structure of Ba2Li2TlPd5, as listed in Alexandria.

Structure (POSCAR):
```
Ba2Li2TlPd5
1.0
-2.1550 -0.8811 3.3172
-7.9893 -1.9975 -5.7208
2.8788 -9.5814 -0.6749
Ba Li Tl Pd
4 4 2 10
Direct
0.0000 0.6822 0.1822
0.0000 0.3178 0.8178
0.0000 0.1822 0.3178
0.0000 0.8178 0.6822
0.0000 0.1154 0.6154
0.0000 0.8846 0.3846
0.0000 0.6154 0.8846
0.0000 0.3846 0.1154
0.0000 0.0000 0.0000
0.0000 0.5000 0.5000
0.5000 0.2166 0.0623
0.5000 0.7834 0.9377
0.5000 0.0623 0.7834
0.5000 0.7166 0.4377
0.5000 0.9377 0.2166
0.5000 0.2834 0.5623
0.5000 0.5623 0.7166
0.5000 0.4377 0.2834
0.5000 0.5000 0.0000
0.5000 0.0000 0.5000
```

SG: P4/mbm (127)
Magnetization: 0.0 Bohr magnetons per cell
Crystal system: tetragonal
ΔH_f (0 K): -404 meV per atom

=====

Entry 5:
First-principles (PBE-GGA) data for a relaxed structure of BaLi2YPd, as listed in Alexandria.

Structure (POSCAR):
```
BaLi2YPd
1.0
-1.9390 -0.6614 4.8913
-4.8334 -0.8103 -2.0256
0.9928 -5.1611 -0.3043
Y Ba Pd Li
1 1 1 2
Direct
0.0000 0.0000 0.5000
0.5000 0.5000 0.5000
0.0000 0.0000 0.0000
0.0000 0.5000 0.0000
0.5000 0.0000 0.0000
```

SG: P4/mmm (123)
Magnetization: 0.0 Bohr magnetons per cell
Crystal system: tetragonal
ΔH_f (0 K): -110 meV per atom

=====

Entry 6:
First-principles (PBE-GGA) data for a relaxed structure of Ba2LiZnPd6, as listed in Alexandria.

Structure (POSCAR):
```
Ba2LiZnPd6
1.0
-3.1062 6.1083 -0.8739
-2.7467 0.3893 6.4247
2.1847 4.0183 3.0406
Ba Li Zn Pd
2 1 1 6
Direct
0.2916 0.7939 0.4569
0.7084 0.2061 0.5431
0.0000 0.0000 0.0000
0.5000 0.5000 0.0000
0.0758 0.5747 0.1747
0.7519 0.7400 0.0057
0.2483 0.2601 0.4979
0.9242 0.4253 0.8253
0.2481 0.2600 0.9943
0.7517 0.7399 0.5021
```

SG: C2/m (12)
Magnetization: 0.0 Bohr magnetons per cell
Crystal system: monoclinic
ΔH_f (0 K): -423 meV per atom